1.
# CrHI2

Crystalline CrHI2 at its relaxed geometry (GGA-PBE, Alexandria).

abc: 9.868 9.868 5.851
angles: 90.00 90.00 154.65
Element x y z (fractional)
Cr 0.191 0.809 0.750
Cr 0.809 0.191 0.250
H 0.099 0.901 0.750
H 0.901 0.099 0.250
I 0.202 0.798 0.250
I 0.408 0.592 0.250
I 0.592 0.408 0.750
I 0.798 0.202 0.750

Calculated values
- SG = Cmcm (63)

***

2.
# CrHI2

Crystalline CrHI2 at its relaxed geometry (GGA-PBE, Alexandria).

abc: 7.350 7.350 7.350
angles: 131.50 131.50 71.01
Element x y z (fractional)
Cr 0.000 0.000 0.000
Cr 0.750 0.250 0.500
H 0.250 0.750 0.500
H 0.500 0.500 0.000
I 0.165 0.625 0.040
I 0.375 0.415 0.540
I 0.585 0.125 0.960
I 0.875 0.835 0.460

Calculated values
- SG = I-42d (122)

***

3.
# CrHI3

Crystalline CrHI3 at its relaxed geometry (GGA-PBE, Alexandria).

abc: 3.901 6.266 13.353
angles: 89.40 89.86 90.00
Element x y z (fractional)
Cr 0.239 0.249 0.250
Cr 0.761 0.751 0.750
H 0.262 0.252 0.751
H 0.738 0.748 0.249
I 0.238 0.748 0.249
I 0.260 0.748 0.893
I 0.263 0.755 0.608
I 0.737 0.245 0.392
I 0.740 0.252 0.107
I 0.762 0.252 0.751

Calculated values
- SG = P-1 (2)

***

4.
# CrH3I

Crystalline CrH3I at its relaxed geometry (GGA-PBE, Alexandria).

abc: 3.808 3.808 3.808
angles: 90.00 90.00 90.00
Element x y z (fractional)
Cr 0.000 0.000 0.000
H 0.000 0.000 0.500
H 0.000 0.500 0.000
H 0.500 0.000 0.000
I 0.500 0.500 0.500

Calculated values
- SG = Pm-3m (221)

***

E_tot values, unit eV/f.u., following the record order: -15.64, -14.51, -18.23, -17.99.